KAlAg2: relaxed, GGA-PBE.

The structure in extended XYZ format:
```
4
Lattice="1.705 0.985 9.413 -1.705 0.985 9.413 0.000 -1.969 9.413" Properties=species:S:1:pos:R:3 pbc="T T T"
K 0.000 0.000 0.000
Al 0.000 0.000 14.120
Ag 0.000 0.000 6.538
Ag 0.000 0.000 21.702
```

Results
- uncorrected energy (eV per atom) = -2.418
- spin magnetization (μB/f.u.) = 0.00
- calculated volume (Å³/atom) = 23.706
- formation energy from the elements (eV per atom) = 0.218